Record 1
A plane-wave DFT calculation with PBE was carried out for an optimized crystal structure of SrScGa4.

```
6
Lattice="0.000 3.937 3.937 3.937 0.000 3.937 3.937 3.937 0.000" Properties=species:S:1:pos:R:3 pbc="T T T"
Sr 0.000 0.000 0.000
Sc 5.905 5.905 5.905
Ga 2.958 2.958 2.958
Ga 4.916 4.916 2.958
Ga 4.916 2.958 4.916
Ga 2.958 4.916 4.916
```

## Properties
* DOS(E_F): 4.6 states/eV/f.u.
* calculated volume: 122 Å³ per cell
* energy of formation from the pure elements: -0.366 eV per atom
* total magnetization: 0.00 μB/atom
* distance to the lowest polymorph of the same formula: 129 meV/atom

Record 2
A plane-wave DFT calculation with PBE was carried out for an optimized crystal structure of SrSc2Ga4.

```
7
Lattice="-1.942 2.126 9.293 1.942 -2.126 9.293 1.942 2.126 -9.293" Properties=species:S:1:pos:R:3 pbc="T T T"
Sr 0.000 0.000 0.000
Sc 1.942 0.000 5.723
Sc 0.000 2.126 3.570
Ga 1.942 0.000 2.909
Ga 0.000 0.000 7.890
Ga 0.000 0.000 10.696
Ga 0.000 2.126 6.384
```

## Properties
* DOS(E_F): 4.3 states/eV/f.u.
* calculated volume: 153 Å³ per cell
* energy of formation from the pure elements: -0.490 eV per atom
* total magnetization: 0.00 μB/atom

Record 3
A plane-wave DFT calculation with PBE was carried out for an optimized crystal structure of SrSc2Ga2.

```
5
Lattice="-2.526 2.526 5.389 2.526 -2.526 5.389 2.526 2.526 -5.389" Properties=species:S:1:pos:R:3 pbc="T T T"
Sr 0.000 0.000 0.000
Sc 0.000 0.000 3.675
Sc 0.000 0.000 7.103
Ga 2.526 0.000 2.695
Ga 0.000 2.526 2.695
```

## Properties
* DOS(E_F): 3.7 states/eV/f.u.
* calculated volume: 138 Å³ per cell
* energy of formation from the pure elements: -0.193 eV per atom
* total magnetization: 0.18 μB/atom
* distance to the lowest polymorph of the same formula: 173 meV/atom

Record 4
A plane-wave DFT calculation with PBE was carried out for an optimized crystal structure of SrScGa4.

```
24
Lattice="8.249 0.000 0.000 0.000 15.835 0.000 0.000 0.000 4.214" Properties=species:S:1:pos:R:3 pbc="T T T"
Sr 1.084 2.359 0.000
Sr 3.040 10.277 0.000
Sr 5.209 5.559 0.000
Sr 7.165 13.476 0.000
Sc 1.045 6.617 0.000
Sc 3.080 14.535 0.000
Sc 5.169 1.301 0.000
Sc 7.204 9.218 0.000
Ga 0.118 11.042 2.107
Ga 0.953 8.709 2.107
Ga 1.086 15.321 2.107
Ga 1.711 12.891 2.107
Ga 2.414 4.973 2.107
Ga 3.039 7.403 2.107
Ga 3.172 0.792 2.107
Ga 4.007 3.124 2.107
Ga 4.242 12.711 2.107
Ga 5.077 15.044 2.107
Ga 5.210 8.432 2.107
Ga 5.835 10.862 2.107
Ga 6.538 2.944 2.107
Ga 7.163 0.515 2.107
Ga 7.297 7.126 2.107
Ga 8.131 4.793 2.107
```

## Properties
* DOS(E_F): 3.0 states/eV/f.u.
* calculated volume: 550 Å³ per cell
* energy of formation from the pure elements: -0.460 eV per atom
* total magnetization: 0.00 μB/atom
* distance to the lowest polymorph of the same formula: 34 meV/atom